# 1
## TbGdRuPb (PBE)

Data for a relaxed structure of TbGdRuPb.

Values from the calculation:
V: 24.20 Å³ per atom
formation enthalpy at 0 K: -0.25 eV/atom
E_tot: -0.300 hartree per atom

Unit cell a=5.154 b=5.154 c=5.154 alpha=60.00 beta=60.00 gamma=60.00
Element x y z (fractional)
Pb (0.250, 0.250, 0.250)
Ru (0.750, 0.750, 0.750)
Gd (0.000, 0.000, 0.000)
Tb (0.500, 0.500, 0.500)

---

# 2
## GdYRuPb (PBE)

Data for a relaxed structure of GdYRuPb.

Values from the calculation:
V: 24.12 Å³ per atom
formation enthalpy at 0 K: -0.26 eV/atom
E_tot: -0.318 hartree per atom

Unit cell a=5.148 b=5.148 c=5.148 alpha=60.00 beta=60.00 gamma=60.00
Element x y z (fractional)
Pb (0.250, 0.250, 0.250)
Ru (0.750, 0.750, 0.750)
Gd (0.000, 0.000, 0.000)
Y (0.500, 0.500, 0.500)

---

# 3
## Gd2PbS (PBE)

Data for a relaxed structure of Gd2PbS.

Values from the calculation:
V: 26.43 Å³ per atom
raw formation energy: -1.2423 eV/atom
E_tot: -0.376 hartree per atom

Unit cell a=3.931 b=3.931 c=8.218 alpha=76.16 beta=76.16 gamma=60.00
Element x y z (fractional)
Pb (0.500, 0.500, 0.500)
S (0.000, 0.000, 0.000)
Gd (0.267, 0.267, 0.200)
Gd (0.733, 0.733, 0.800)

---

# 4
## Gd2PbS (PBE)

Data for a relaxed structure of Gd2PbS.

Values from the calculation:
V: 24.38 Å³ per atom
raw formation energy: -1.0954 eV/atom
E_tot: -0.371 hartree per atom

Unit cell a=3.472 b=3.472 c=8.089 alpha=90.00 beta=90.00 gamma=90.00
Element x y z (fractional)
Pb (0.500, 0.500, 0.500)
S (0.500, 0.500, 0.000)
Gd (0.000, 0.000, 0.786)
Gd (0.000, 0.000, 0.214)

---

# 5
## GdPbS2 (PBE)

Data for a relaxed structure of GdPbS2.

Values from the calculation:
V: 29.84 Å³ per atom
raw formation energy: -1.2873 eV/atom
E_tot: -0.287 hartree per atom

Unit cell a=3.981 b=3.981 c=8.993 alpha=77.21 beta=77.21 gamma=60.00
Element x y z (fractional)
Pb (0.000, 0.000, 0.000)
S (0.109, 0.109, 0.674)
S (0.891, 0.891, 0.326)
Gd (0.500, 0.500, 0.500)

---

# 6
## GdSb2Pb (PBE)

Data for a relaxed structure of GdSb2Pb.

Values from the calculation:
V: 30.79 Å³ per atom
raw formation energy: 0.1166 eV/atom
E_tot: -0.235 hartree per atom

Unit cell a=3.407 b=3.407 c=12.412 alpha=82.11 beta=82.11 gamma=60.00
Element x y z (fractional)
Pb (0.500, 0.500, 0.500)
Sb (0.085, 0.085, 0.745)
Sb (0.915, 0.915, 0.255)
Gd (0.000, 0.000, 0.000)

---

# 7
## GdSb2Pb (PBE)

Data for a relaxed structure of GdSb2Pb.

Values from the calculation:
V: 28.73 Å³ per atom
raw formation energy: -0.4834 eV/atom
E_tot: -0.257 hartree per atom

Unit cell a=4.157 b=4.157 c=6.651 alpha=90.00 beta=90.00 gamma=90.00
Element x y z (fractional)
Pb (0.500, 0.500, 0.000)
Sb (0.000, 0.000, 0.731)
Sb (0.000, 0.000, 0.269)
Gd (0.500, 0.500, 0.500)

---

# 8
## GdSb2Pb (PBE)

Data for a relaxed structure of GdSb2Pb.

Values from the calculation:
V: 29.31 Å³ per atom
raw formation energy: -0.3648 eV/atom
E_tot: -0.253 hartree per atom

Unit cell a=5.494 b=5.494 c=5.494 alpha=60.00 beta=60.00 gamma=60.00
Element x y z (fractional)
Pb (0.500, 0.500, 0.500)
Sb (0.250, 0.250, 0.250)
Sb (0.750, 0.750, 0.750)
Gd (0.000, 0.000, 0.000)

---

# 9
## GdSb2Pb (PBE)

Data for a relaxed structure of GdSb2Pb.

Values from the calculation:
V: 28.32 Å³ per atom
raw formation energy: -0.4655 eV/atom
E_tot: -0.256 hartree per atom

Unit cell a=4.261 b=5.156 c=5.156 alpha=90.00 beta=90.00 gamma=90.00
Element x y z (fractional)
Pb (0.500, 0.000, 0.000)
Sb (0.000, 0.000, 0.500)
Sb (0.000, 0.500, 0.000)
Gd (0.500, 0.500, 0.500)

---

# 10
## Gd2ScPb (PBE)

Data for a relaxed structure of Gd2ScPb.

Values from the calculation:
V: 27.67 Å³ per atom
formation enthalpy at 0 K: -0.30 eV/atom
E_tot: -0.362 hartree per atom

Unit cell a=4.791 b=4.807 c=4.807 alpha=90.00 beta=90.00 gamma=90.00
Element x y z (fractional)
Pb (0.500, 0.000, 0.000)
Sc (0.500, 0.500, 0.500)
Gd (0.000, 0.000, 0.500)
Gd (0.000, 0.500, 0.000)

---

# 11
## GdScPb (PBE)

Data for a relaxed structure of GdScPb.

Values from the calculation:
V: 28.02 Å³ per atom
formation enthalpy at 0 K: -0.25 eV/atom
E_tot: -0.305 hartree per atom

Unit cell a=3.821 b=5.040 c=5.040 alpha=120.00 beta=90.00 gamma=90.00
Element x y z (fractional)
Pb (0.165, 0.000, 0.000)
Sc (0.168, 0.667, 0.333)
Gd (0.667, 0.333, 0.667)

---

# 12
## GdScPb (PBE)

Data for a relaxed structure of GdScPb.

Values from the calculation:
V: 27.04 Å³ per atom
formation enthalpy at 0 K: -0.29 eV/atom
E_tot: -0.306 hartree per atom

Unit cell a=3.944 b=3.944 c=5.913 alpha=109.48 beta=109.48 gamma=90.00
Element x y z (fractional)
Pb (0.273, 0.273, 0.546)
Sc (0.630, 0.630, 0.260)
Gd (0.947, 0.947, 0.894)

---

Q: E_tot of number 3 (Gd2PbS)?
A: -0.376 hartree per atom

---

Q: Which value of E_tot does entry 1 give?
A: -0.300 hartree per atom

---

Q: Look up the E_tot of the second one.
A: -0.318 hartree per atom